Entry 1:
Compound: Cs2ThSbS5
Source: Alexandria via LeMat-Bulk
Functional: PBE
Structure: relaxed

POSCAR file:
```
Cs2ThSbS5
1.0
2.2426 -9.9873 0.0000
2.2426 9.9873 0.0000
0.0000 0.0000 14.8571
Cs Th Sb S
4 2 2 10
Direct
0.1205 0.8795 0.5000
0.1334 0.8666 0.1580
0.8666 0.1334 0.6580
0.8795 0.1205 0.0000
0.2012 0.7988 0.8621
0.7988 0.2012 0.3621
0.4429 0.5571 0.2580
0.5571 0.4429 0.7580
0.0473 0.9527 0.8382
0.3061 0.6939 0.4710
0.3215 0.6785 0.2293
0.3270 0.6730 0.8318
0.4943 0.5057 0.1178
0.5057 0.4943 0.6178
0.6730 0.3270 0.3318
0.6785 0.3215 0.7293
0.6939 0.3061 0.9710
0.9527 0.0473 0.3382
```

Computed properties:
Total DFT energy (no corrections) (eV/atom): -4.905
Theoretical density (Mg/m³): 3.892
Formation energy without anion corrections (eV per atom): -1.1394



Entry 2:
Compound: Cs2TiSbS4
Source: Alexandria via LeMat-Bulk
Functional: PBE
Structure: relaxed

POSCAR file:
```
Cs2TiSbS4
1.0
0.0000 6.9198 12.3619
3.4936 0.0000 12.3619
3.4936 6.9198 0.0000
Cs Ti Sb S
4 2 2 8
Direct
0.0561 0.0561 0.6939
0.3061 0.3061 0.9439
0.6939 0.6939 0.0561
0.9439 0.9439 0.3061
0.1250 0.1250 0.1250
0.8750 0.8750 0.8750
0.3750 0.3750 0.3750
0.6250 0.6250 0.6250
0.0655 0.2946 0.3534
0.2135 0.6466 0.7054
0.2946 0.0655 0.7865
0.3534 0.7865 0.0655
0.6466 0.2135 0.9345
0.7054 0.9345 0.2135
0.7865 0.3534 0.2946
0.9345 0.7054 0.6466
```

Computed properties:
Total DFT energy (no corrections) (eV/atom): -4.725
Theoretical density (Mg/m³): 3.132
Formation energy without anion corrections (eV per atom): -0.9458



Entry 3:
Compound: CsTiSbS4
Source: Alexandria via LeMat-Bulk
Functional: PBE
Structure: relaxed

POSCAR file:
```
CsTiSbS4
1.0
6.6081 0.0000 0.0000
0.0000 7.3527 0.0000
-3.2672 0.0000 9.1533
Cs Ti Sb S
2 2 2 8
Direct
0.2179 0.2500 0.4101
0.7821 0.7500 0.5899
0.1219 0.2500 0.8190
0.8781 0.7500 0.1810
0.3611 0.7500 0.1098
0.6389 0.2500 0.8902
0.1028 0.2500 0.0392
0.2376 0.7500 0.3312
0.3317 0.0125 0.7926
0.3317 0.4875 0.7926
0.6683 0.5125 0.2074
0.6683 0.9875 0.2074
0.7624 0.2500 0.6688
0.8972 0.7500 0.9608
```

Computed properties:
Total DFT energy (no corrections) (eV/atom): -5.117
Theoretical density (Mg/m³): 3.217
Formation energy without anion corrections (eV per atom): -0.9198



Entry 4:
Compound: CsTl2SbS4
Source: Alexandria via LeMat-Bulk
Functional: PBE
Structure: relaxed

POSCAR file:
```
CsTl2SbS4
1.0
-4.2148 4.3439 6.0886
4.2148 -4.3439 6.0886
4.2148 4.3439 -6.0886
Cs Tl Sb S
2 4 2 8
Direct
0.5000 0.0000 0.0000
0.5000 0.5000 0.5000
0.0000 0.0000 0.0000
0.0000 0.0000 0.5000
0.0000 0.5000 0.0000
0.5000 0.0000 0.5000
0.0000 0.5000 0.5000
0.5000 0.5000 0.0000
0.1918 0.7343 0.4576
0.2233 0.2657 0.9576
0.2301 0.2579 0.5278
0.2301 0.7023 0.9722
0.7699 0.2977 0.0278
0.7699 0.7421 0.4722
0.7767 0.7343 0.0424
0.8082 0.2657 0.5424
```

Computed properties:
Total DFT energy (no corrections) (eV/atom): -3.632
Theoretical density (Mg/m³): 5.897
Formation energy without anion corrections (eV per atom): -0.3552



Entry 5:
Compound: Cs2TlSbS4
Source: Alexandria via LeMat-Bulk
Functional: PBE
Structure: relaxed

POSCAR file:
```
Cs2TlSbS4
1.0
0.0000 7.5910 12.0817
3.3560 0.0000 12.0817
3.3560 7.5910 0.0000
Cs Tl Sb S
4 2 2 8
Direct
0.0551 0.0551 0.6949
0.3051 0.3051 0.9449
0.6949 0.6949 0.0551
0.9449 0.9449 0.3051
0.1250 0.1250 0.1250
0.8750 0.8750 0.8750
0.3750 0.3750 0.3750
0.6250 0.6250 0.6250
0.0415 0.3188 0.4080
0.2683 0.5920 0.6812
0.3188 0.0415 0.7317
0.4080 0.7317 0.0415
0.5920 0.2683 0.9585
0.6812 0.9585 0.2683
0.7317 0.4080 0.3188
0.9585 0.6812 0.5920
```

Computed properties:
Total DFT energy (no corrections) (eV/atom): -3.642
Theoretical density (Mg/m³): 3.886
Formation energy without anion corrections (eV per atom): -0.5539



Entry 6:
Compound: Cs2Tm2SbS6
Source: Alexandria via LeMat-Bulk
Functional: PBE
Structure: relaxed

POSCAR file:
```
Cs2Tm2SbS6
1.0
3.4322 -5.9345 0.0000
3.4322 5.9345 0.0000
-2.3337 0.0000 8.2695
Cs Tm Sb S
2 2 1 6
Direct
0.1679 0.8320 0.0000
0.8320 0.1679 0.0000
0.3330 0.6670 0.5000
0.6670 0.3330 0.5000
0.0000 0.0000 0.5000
0.0601 0.3875 0.6758
0.2671 0.2671 0.3250
0.3875 0.0601 0.6758
0.6125 0.9399 0.3242
0.7329 0.7329 0.6750
0.9399 0.6125 0.3242
```

Computed properties:
Total DFT energy (no corrections) (eV/atom): -4.981
Theoretical density (Mg/m³): 4.524
Formation energy without anion corrections (eV per atom): -1.3865



Entry 7:
Compound: CsUSbS6
Source: Alexandria via LeMat-Bulk
Functional: PBE
Structure: relaxed

POSCAR file:
```
CsUSbS6
1.0
6.4959 0.0000 0.0000
-3.2479 5.6256 0.0000
0.0000 0.0000 8.3553
Cs U Sb S
1 1 1 6
Direct
0.0000 0.0000 0.0000
0.6667 0.3333 0.5000
0.3333 0.6667 0.5000
0.0025 0.3671 0.3192
0.0025 0.6354 0.6808
0.3646 0.3671 0.6808
0.3646 0.9975 0.3192
0.6329 0.6354 0.3192
0.6329 0.9975 0.6808
```

Computed properties:
Total DFT energy (no corrections) (eV/atom): -5.266
Theoretical density (Mg/m³): 3.726
Formation energy without anion corrections (eV per atom): -0.7075



Entry 8:
Compound: CsUSb2S5
Source: Alexandria via LeMat-Bulk
Functional: PBE
Structure: relaxed

POSCAR file:
```
CsUSb2S5
1.0
-2.6545 3.7408 6.6357
2.6545 -3.7408 6.6357
2.6545 3.7408 -6.6357
Cs U Sb S
1 1 2 5
Direct
0.0000 0.0000 0.0000
0.5000 0.5000 0.0000
0.2659 0.7659 0.5000
0.7341 0.2341 0.5000
0.1078 0.3570 0.7507
0.3937 0.6430 0.7507
0.5000 0.0000 0.5000
0.6063 0.3570 0.2493
0.8922 0.6430 0.2493
```

Computed properties:
Total DFT energy (no corrections) (eV/atom): -5.198
Theoretical density (Mg/m³): 4.881
Formation energy without anion corrections (eV per atom): -0.6400



Entry 9:
Compound: Cs2USbS5
Source: Alexandria via LeMat-Bulk
Functional: PBE
Structure: relaxed

POSCAR file:
```
Cs2USbS5
1.0
2.1420 -9.5412 0.0000
2.1420 9.5412 0.0000
0.0000 0.0000 15.6094
Cs U Sb S
4 2 2 10
Direct
0.0980 0.9020 0.5000
0.1420 0.8580 0.1516
0.8580 0.1420 0.6516
0.9020 0.0980 0.0000
0.2076 0.7924 0.8753
0.7924 0.2076 0.3753
0.4529 0.5471 0.2846
0.5471 0.4529 0.7846
0.0736 0.9264 0.8985
0.2801 0.7199 0.4781
0.3208 0.6792 0.2638
0.3319 0.6681 0.8340
0.4913 0.5087 0.1400
0.5087 0.4913 0.6400
0.6681 0.3319 0.3340
0.6792 0.3208 0.7638
0.7199 0.2801 0.9781
0.9264 0.0736 0.3985
```

Computed properties:
Total DFT energy (no corrections) (eV/atom): -5.201
Theoretical density (Mg/m³): 4.091
Formation energy without anion corrections (eV per atom): -1.0061



Entry 10:
Compound: Cs2USbS6
Source: Alexandria via LeMat-Bulk
Functional: PBE
Structure: relaxed

POSCAR file:
```
Cs2USbS6
1.0
3.7727 2.1782 12.3442
-3.7727 2.1782 12.3442
0.0000 -4.3564 12.3442
Cs U Sb S
4 2 2 12
Direct
0.1265 0.1265 0.1265
0.2915 0.2915 0.2915
0.7085 0.7085 0.7085
0.8735 0.8735 0.8735
0.4122 0.4122 0.4122
0.5878 0.5878 0.5878
0.0000 0.0000 0.0000
0.5000 0.5000 0.5000
0.1508 0.6123 0.6123
0.2136 0.2136 0.7017
0.2136 0.7017 0.2136
0.2983 0.7864 0.7864
0.3877 0.3877 0.8492
0.3877 0.8492 0.3877
0.6123 0.1508 0.6123
0.6123 0.6123 0.1508
0.7017 0.2136 0.2136
0.7864 0.2983 0.7864
0.7864 0.7864 0.2983
0.8492 0.3877 0.3877
```

Computed properties:
Total DFT energy (no corrections) (eV/atom): -5.143
Theoretical density (Mg/m³): 4.463
Formation energy without anion corrections (eV per atom): -0.9548